[1]
A relaxed structure of Sr3CdPt. Source: Alexandria via LeMat-Bulk, functional PBE-GGA.

a b c (Å): 5.883 5.883 5.883
angles (deg): 90.00 90.00 90.00
Element x y z (fractional)
1 Sr 0.500 0.000 0.000
2 Sr 0.000 0.000 0.500
3 Sr 0.000 0.500 0.000
4 Cd 0.500 0.500 0.500
5 Pt 0.000 0.000 0.000

Output
The value obtained for the polymorph energy (0 for the lowest one) is 0.31 eV per formula unit. The value obtained for the total energy is -14.237 eV/cell.

=====

[2]
A relaxed structure of Pa2AsO4. Source: Alexandria via LeMat-Bulk, functional PBE-GGA.

a b c (Å): 3.836 3.836 8.486
angles (deg): 76.94 76.94 60.00
Element x y z (fractional)
1 O 0.424 0.424 0.728
2 O 0.576 0.576 0.272
3 O 0.861 0.861 0.418
4 O 0.139 0.139 0.582
5 Pa 0.768 0.768 0.695
6 Pa 0.232 0.232 0.305
7 As 0.000 0.000 0.000

Output
The value obtained for the uncorrected formation energy is -2887 meV/atom. The value obtained for the polymorph energy (0 for the lowest one) is 0.00 eV per formula unit. The value obtained for the total energy is -63.683 eV/cell.